1.
The following is a DFT calculation (PBE-GGA) of MnP2Pd after structural relaxation.

Cell lengths 6.0428, 6.0428, 6.0428 Å; angles 90.00, 90.00, 90.00 degrees
With the nearest neighbours (Å) after each atom.
Positions (direct):
Mn (0.0000, 0.0000, 0.0000)  8 P 2.62
Mn (0.0000, 0.5000, 0.5000)  8 P 2.62
Mn (0.5000, 0.0000, 0.5000)  8 P 2.62
Mn (0.5000, 0.5000, 0.0000)  8 P 2.62
P (0.2500, 0.2500, 0.2500)  4 Mn 2.62, 4 Pd 2.62
P (0.2500, 0.2500, 0.7500)  4 Mn 2.62, 4 Pd 2.62
P (0.2500, 0.7500, 0.2500)  4 Mn 2.62, 4 Pd 2.62
P (0.2500, 0.7500, 0.7500)  4 Mn 2.62, 4 Pd 2.62
P (0.7500, 0.2500, 0.2500)  4 Mn 2.62, 4 Pd 2.62
P (0.7500, 0.2500, 0.7500)  4 Mn 2.62, 4 Pd 2.62
P (0.7500, 0.7500, 0.2500)  4 Mn 2.62, 4 Pd 2.62
P (0.7500, 0.7500, 0.7500)  4 Mn 2.62, 4 Pd 2.62
Pd (0.0000, 0.0000, 0.5000)  8 P 2.62
Pd (0.0000, 0.5000, 0.0000)  8 P 2.62
Pd (0.5000, 0.0000, 0.0000)  8 P 2.62
Pd (0.5000, 0.5000, 0.5000)  8 P 2.62

Energy above the most stable polymorph in this dataset = 60 meV/atom
ΔH_f (0 K) = -0.03 eV per atom

2.
The following is a DFT calculation (PBE-GGA) of MnP2Pd2 after structural relaxation.

Cell lengths 5.8163, 5.8163, 4.1941 Å; angles 90.00, 90.00, 90.00 degrees
With the nearest neighbours (Å) after each atom.
Positions (direct):
Mn (0.0000, 0.0000, 0.0000)  4 P 2.27
Mn (0.5000, 0.5000, 0.0000)  4 P 2.27
P (0.1340, 0.3660, 0.0000)  1 P 2.20, 2 Mn 2.27, 2 Pd 2.33
P (0.3660, 0.8660, 0.0000)  1 P 2.20, 2 Mn 2.27, 2 Pd 2.33
P (0.6340, 0.1340, 0.0000)  1 P 2.20, 2 Mn 2.27, 2 Pd 2.33
P (0.8660, 0.6340, 0.0000)  1 P 2.20, 2 Mn 2.27, 2 Pd 2.33
Pd (0.2422, 0.7422, 0.5000)  2 P 2.33
Pd (0.2578, 0.2422, 0.5000)  2 P 2.33
Pd (0.7422, 0.7578, 0.5000)  2 P 2.33
Pd (0.7578, 0.2578, 0.5000)  2 P 2.33

ΔH_f (0 K) = -0.27 eV per atom

3.
The following is a DFT calculation (PBE-GGA) of MnP3Pd after structural relaxation.

Cell lengths 4.3563, 4.3563, 4.3563 Å; angles 90.00, 90.00, 90.00 degrees
With the nearest neighbours (Å) after each atom.
Positions (direct):
Mn (0.0000, 0.0000, 0.0000)  6 P 2.18
P (0.0000, 0.0000, 0.5000)  2 Mn 2.18
P (0.0000, 0.5000, 0.0000)  2 Mn 2.18
P (0.5000, 0.0000, 0.0000)  2 Mn 2.18
Pd (0.5000, 0.5000, 0.5000)  12 P 3.08

Energy above the most stable polymorph in this dataset = 0 meV/atom
ΔH_f (0 K) = 0.45 eV per atom

4.
The following is a DFT calculation (PBE-GGA) of MnP2Pd after structural relaxation.

Cell lengths 5.2164, 5.2164, 10.3491 Å; angles 90.00, 90.00, 90.00 degrees
With the nearest neighbours (Å) after each atom.
Positions (direct):
Mn (0.0000, 0.0000, 0.0000)  4 P 2.16
Mn (0.0000, 0.5000, 0.2500)  4 P 2.16
Mn (0.5000, 0.0000, 0.7500)  4 P 2.16
Mn (0.5000, 0.5000, 0.5000)  4 P 2.16
P (0.2183, 0.2500, 0.1250)  2 Mn 2.16, 2 Pd 2.35
P (0.2500, 0.7183, 0.3750)  2 Mn 2.16, 2 Pd 2.35
P (0.2500, 0.7817, 0.8750)  2 Mn 2.16, 2 Pd 2.35
P (0.2817, 0.2500, 0.6250)  2 Mn 2.16, 2 Pd 2.35
P (0.7183, 0.7500, 0.6250)  2 Mn 2.16, 2 Pd 2.35
P (0.7500, 0.2183, 0.8750)  2 Mn 2.16, 2 Pd 2.35
P (0.7500, 0.2817, 0.3750)  2 Mn 2.16, 2 Pd 2.35
P (0.7817, 0.7500, 0.1250)  2 Mn 2.16, 2 Pd 2.35
Pd (0.0000, 0.0000, 0.5000)  4 P 2.35
Pd (0.0000, 0.5000, 0.7500)  4 P 2.35
Pd (0.5000, 0.0000, 0.2500)  4 P 2.35
Pd (0.5000, 0.5000, 0.0000)  4 P 2.35

Energy above the most stable polymorph in this dataset = 0 meV/atom
ΔH_f (0 K) = -0.09 eV per atom

5.
The following is a DFT calculation (PBE-GGA) of MnP3Pd after structural relaxation.

Cell lengths 4.6111, 4.6111, 4.6111 Å; angles 90.00, 90.00, 90.00 degrees
With the nearest neighbours (Å) after each atom.
Positions (direct):
Mn (0.0000, 0.0000, 0.0000)  12 P 3.26
P (0.0000, 0.5000, 0.5000)  2 Pd 2.31
P (0.5000, 0.0000, 0.5000)  2 Pd 2.31
P (0.5000, 0.5000, 0.0000)  2 Pd 2.31
Pd (0.5000, 0.5000, 0.5000)  6 P 2.31

Energy above the most stable polymorph in this dataset = 909 meV/atom
ΔH_f (0 K) = 1.36 eV per atom

6.
The following is a DFT calculation (PBE-GGA) of PmMnP2Pd after structural relaxation.

Cell lengths 4.0551, 4.0551, 10.1035 Å; angles 90.00, 90.00, 90.00 degrees
With the nearest neighbours (Å) after each atom.
Positions (direct):
Pm (0.0000, 0.0000, 0.0000)  8 P 3.11, 4 Mn 3.24, 4 Pd 3.24
Pm (0.5000, 0.5000, 0.5000)  8 P 3.11, 4 Mn 3.24, 4 Pd 3.24
Mn (0.0000, 0.5000, 0.2500)  4 P 2.42
Mn (0.5000, 0.0000, 0.7500)  4 P 2.42
P (0.0000, 0.0000, 0.3814)  1 P 2.40, 2 Mn 2.42, 2 Pd 2.42
P (0.0000, 0.0000, 0.6186)  1 P 2.40, 2 Mn 2.42, 2 Pd 2.42
P (0.5000, 0.5000, 0.1186)  1 P 2.40, 2 Mn 2.42, 2 Pd 2.42
P (0.5000, 0.5000, 0.8814)  1 P 2.40, 2 Mn 2.42, 2 Pd 2.42
Pd (0.0000, 0.5000, 0.7500)  4 P 2.42
Pd (0.5000, 0.0000, 0.2500)  4 P 2.42

ΔH_f (0 K) = -0.84 eV per atom

7.
The following is a DFT calculation (PBE-GGA) of PrMnP2Pd after structural relaxation.

Cell lengths 3.9071, 3.9071, 11.2148 Å; angles 90.00, 90.00, 90.00 degrees
With the nearest neighbours (Å) after each atom.
Positions (direct):
Pr (0.0000, 0.0000, 0.0000)  8 P 3.15, 4 Mn 3.42, 4 Pd 3.42
Pr (0.5000, 0.5000, 0.5000)  8 P 3.15, 4 Mn 3.42, 4 Pd 3.42
Mn (0.0000, 0.5000, 0.7500)  4 P 2.34
Mn (0.5000, 0.0000, 0.2500)  4 P 2.34
P (0.0000, 0.0000, 0.3645)  2 Mn 2.34, 2 Pd 2.34
P (0.0000, 0.0000, 0.6355)  2 Mn 2.34, 2 Pd 2.34
P (0.5000, 0.5000, 0.1355)  2 Mn 2.34, 2 Pd 2.34
P (0.5000, 0.5000, 0.8645)  2 Mn 2.34, 2 Pd 2.34
Pd (0.0000, 0.5000, 0.2500)  4 P 2.34
Pd (0.5000, 0.0000, 0.7500)  4 P 2.34

ΔH_f (0 K) = -0.80 eV per atom

8.
The following is a DFT calculation (PBE-GGA) of MnPPdS2 after structural relaxation.

Cell lengths 4.8814, 4.8814, 4.4171 Å; angles 90.00, 90.00, 90.00 degrees
With the nearest neighbours (Å) after each atom.
Positions (direct):
Mn (0.0000, 0.0000, 0.0000)  8 S 3.29, 4 P 3.45
P (0.5000, 0.5000, 0.0000)  2 Pd 2.21
Pd (0.5000, 0.5000, 0.5000)  2 P 2.21, 4 S 2.44
S (0.0000, 0.5000, 0.5000)  2 Pd 2.44
S (0.5000, 0.0000, 0.5000)  2 Pd 2.44

Energy above the most stable polymorph in this dataset = 208 meV/atom

9.
The following is a DFT calculation (PBE-GGA) of MnP2PdS after structural relaxation.

Cell lengths 4.5720, 4.5720, 4.7887 Å; angles 90.00, 90.00, 90.00 degrees
With the nearest neighbours (Å) after each atom.
Positions (direct):
Mn (0.0000, 0.0000, 0.0000)  4 S 3.23, 8 P 3.31
P (0.0000, 0.5000, 0.5000)  2 Pd 2.29
P (0.5000, 0.0000, 0.5000)  2 Pd 2.29
Pd (0.5000, 0.5000, 0.5000)  4 P 2.29, 2 S 2.39
S (0.5000, 0.5000, 0.0000)  2 Pd 2.39

Energy above the most stable polymorph in this dataset = 804 meV/atom

10.
The following is a DFT calculation (PBE-GGA) of MnP2PdS after structural relaxation.

Cell lengths 4.3462, 4.3462, 4.5329 Å; angles 90.00, 90.00, 90.00 degrees
With the nearest neighbours (Å) after each atom.
Positions (direct):
Mn (0.0000, 0.0000, 0.0000)  4 P 2.17, 2 S 2.27
P (0.0000, 0.5000, 0.0000)  2 Mn 2.17
P (0.5000, 0.0000, 0.0000)  2 Mn 2.17
Pd (0.5000, 0.5000, 0.5000)  4 S 3.07, 8 P 3.14
S (0.0000, 0.0000, 0.5000)  2 Mn 2.27

Energy above the most stable polymorph in this dataset = 0 meV/atom

11.
The following is a DFT calculation (PBE-GGA) of MnPPdS2 after structural relaxation.

Cell lengths 4.4774, 4.4774, 4.4041 Å; angles 90.00, 90.00, 90.00 degrees
With the nearest neighbours (Å) after each atom.
Positions (direct):
Mn (0.0000, 0.0000, 0.0000)  2 P 2.20, 4 S 2.24
P (0.0000, 0.0000, 0.5000)  2 Mn 2.20
Pd (0.5000, 0.5000, 0.5000)  8 S 3.14, 4 P 3.17
S (0.0000, 0.5000, 0.0000)  2 Mn 2.24
S (0.5000, 0.0000, 0.0000)  2 Mn 2.24

Energy above the most stable polymorph in this dataset = 0 meV/atom

12.
The following is a DFT calculation (PBE-GGA) of Mn2SbPPd after structural relaxation.

Cell lengths 4.9955, 4.9955, 4.3476 Å; angles 90.00, 90.00, 90.00 degrees
With the nearest neighbours (Å) after each atom.
Positions (direct):
Mn (0.0000, 0.5000, 0.0000)  2 Pd 2.50
Mn (0.5000, 0.0000, 0.0000)  2 Pd 2.50
Sb (0.0000, 0.0000, 0.5000)  8 Mn 3.31, 4 P 3.53
P (0.5000, 0.5000, 0.5000)  2 Pd 2.17
Pd (0.5000, 0.5000, 0.0000)  2 P 2.17

DFT total energy = -30.44 eV for the cell shown